(1)
Compound: NiOsAu2
Source: Alexandria via LeMat-Bulk
Functional: PBE-GGA
Structure: optimized geometry

a = 6.3031 Å, b = 6.3031 Å, c = 6.3031 Å
α = 90.00°, β = 90.00°, γ = 90.00°
With the nearest neighbours (Å) after each atom.
Positions (direct):
Ni 0.0000 0.0000 0.0000  8 Au 2.73
Ni 0.0000 0.5000 0.5000  8 Au 2.73
Ni 0.5000 0.0000 0.5000  8 Au 2.73
Ni 0.5000 0.5000 0.0000  8 Au 2.73
Os 0.0000 0.0000 0.5000  8 Au 2.73
Os 0.0000 0.5000 0.0000  8 Au 2.73
Os 0.5000 0.0000 0.0000  8 Au 2.73
Os 0.5000 0.5000 0.5000  8 Au 2.73
Au 0.2500 0.2500 0.2500  4 Os 2.73, 4 Ni 2.73
Au 0.2500 0.2500 0.7500  4 Ni 2.73, 4 Os 2.73
Au 0.2500 0.7500 0.2500  4 Ni 2.73, 4 Os 2.73
Au 0.2500 0.7500 0.7500  4 Os 2.73, 4 Ni 2.73
Au 0.7500 0.2500 0.2500  4 Ni 2.73, 4 Os 2.73
Au 0.7500 0.2500 0.7500  4 Os 2.73, 4 Ni 2.73
Au 0.7500 0.7500 0.2500  4 Os 2.73, 4 Ni 2.73
Au 0.7500 0.7500 0.7500  4 Ni 2.73, 4 Os 2.73

Calculated values
volume	15.65	A^3/atom
E_tot	-83.96	eV per cell
magnetization	2.06	μB/f.u.

(2)
Compound: NiOs2Au
Source: Alexandria via LeMat-Bulk
Functional: PBE-GGA
Structure: optimized geometry

a = 2.7788 Å, b = 2.7788 Å, c = 7.5370 Å
α = 90.00°, β = 90.00°, γ = 90.00°
With the nearest neighbours (Å) after each atom.
Positions (direct):
Ni 0.0000 0.0000 0.0000  4 Os 2.64, 4 Au 2.73, 4 Ni 2.78
Os 0.0000 0.0000 0.4612  8 Os 2.60-2.78
Os 0.5000 0.5000 0.2345  8 Os 2.60-2.78, 4 Ni 2.64
Au 0.5000 0.5000 0.7486  4 Ni 2.73, 4 Au 2.78, 4 Os 2.92

Calculated values
volume	14.55	A^3/atom
E_tot	-30.55	eV per cell
magnetization	0.00	μB/f.u.

(3)
Compound: NiOs2Au
Source: Alexandria via LeMat-Bulk
Functional: PBE-GGA
Structure: optimized geometry

a = 2.7776 Å, b = 3.7648 Å, c = 5.5469 Å
α = 90.00°, β = 90.11°, γ = 90.00°
With the nearest neighbours (Å) after each atom.
Positions (direct):
Ni 0.0000 0.0000 0.0000  5 Os 2.55-2.72, 4 Au 2.70, 2 Ni 2.78
Os 0.5002 0.5000 0.7503  6 Os 2.61-2.78, 4 Ni 2.72, 2 Au 2.74-2.81
Os 0.9989 0.0000 0.5410  1 Ni 2.55, 6 Os 2.61-2.78
Au 0.4994 0.5000 0.2439  4 Ni 2.70, 6 Os 2.74-2.86, 2 Au 2.78

Calculated values
volume	14.50	A^3/atom
E_tot	-30.42	eV per cell
magnetization	0.00	μB/f.u.

(4)
Compound: NiOsAu2
Source: Alexandria via LeMat-Bulk
Functional: PBE-GGA
Structure: optimized geometry

a = 3.9439 Å, b = 3.9439 Å, c = 3.9736 Å
α = 90.00°, β = 90.00°, γ = 90.00°
With the nearest neighbours (Å) after each atom.
Positions (direct):
Ni 0.0000 0.0000 0.0000  4 Os 2.79, 8 Au 2.80
Os 0.5000 0.5000 0.0000  4 Ni 2.79, 8 Au 2.80
Au 0.0000 0.5000 0.5000  4 Au 2.79, 4 Os 2.80, 4 Ni 2.80
Au 0.5000 0.0000 0.5000  4 Au 2.79, 4 Os 2.80, 4 Ni 2.80

Calculated values
volume	15.45	A^3/atom
E_tot	-21.03	eV per cell
magnetization	1.62	μB/f.u.

(5)
Compound: NiOsAu2
Source: Alexandria via LeMat-Bulk
Functional: PBE-GGA
Structure: optimized geometry

a = 3.7723 Å, b = 3.7723 Å, c = 19.0050 Å
α = 90.00°, β = 90.00°, γ = 90.00°
With the nearest neighbours (Å) after each atom.
Positions (direct):
Ni 0.0000 0.0000 0.0000  4 Os 2.67, 4 Au 2.72
Ni 0.0000 0.5000 0.2500  4 Os 2.67, 4 Au 2.72
Ni 0.5000 0.0000 0.7500  4 Os 2.67, 4 Au 2.72
Ni 0.5000 0.5000 0.5000  4 Os 2.67, 4 Au 2.72
Os 0.0000 0.0000 0.5000  4 Ni 2.67, 4 Au 2.73
Os 0.0000 0.5000 0.7500  4 Ni 2.67, 4 Au 2.73
Os 0.5000 0.0000 0.2500  4 Ni 2.67, 4 Au 2.73
Os 0.5000 0.5000 0.0000  4 Ni 2.67, 4 Au 2.73
Au 0.2479 0.2500 0.1250  4 Au 2.66-2.68, 2 Ni 2.72, 2 Os 2.73
Au 0.2500 0.7479 0.3750  4 Au 2.66-2.68, 2 Ni 2.72, 2 Os 2.73
Au 0.2500 0.7521 0.8750  4 Au 2.66-2.68, 2 Ni 2.72, 2 Os 2.73
Au 0.2521 0.2500 0.6250  4 Au 2.66-2.68, 2 Ni 2.72, 2 Os 2.73
Au 0.7479 0.7500 0.6250  4 Au 2.66-2.68, 2 Ni 2.72, 2 Os 2.73
Au 0.7500 0.2479 0.8750  4 Au 2.66-2.68, 2 Ni 2.72, 2 Os 2.73
Au 0.7500 0.2521 0.3750  4 Au 2.66-2.68, 2 Ni 2.72, 2 Os 2.73
Au 0.7521 0.7500 0.1250  4 Au 2.66-2.68, 2 Ni 2.72, 2 Os 2.73

Calculated values
volume	16.90	A^3/atom
E_tot	-80.37	eV per cell
magnetization	2.39	μB/f.u.

(6)
Compound: NiOsAu2
Source: Alexandria via LeMat-Bulk
Functional: PBE-GGA
Structure: optimized geometry

a = 6.3025 Å, b = 6.3025 Å, c = 6.3025 Å
α = 90.00°, β = 90.00°, γ = 90.00°
With the nearest neighbours (Å) after each atom.
Positions (direct):
Ni 0.0000 0.0000 0.0000  4 Os 2.73, 4 Au 2.73
Ni 0.0000 0.5000 0.5000  4 Os 2.73, 4 Au 2.73
Ni 0.5000 0.0000 0.5000  4 Os 2.73, 4 Au 2.73
Ni 0.5000 0.5000 0.0000  4 Os 2.73, 4 Au 2.73
Os 0.2500 0.2500 0.2500  4 Au 2.73, 4 Ni 2.73
Os 0.2500 0.7500 0.7500  4 Ni 2.73, 4 Au 2.73
Os 0.7500 0.2500 0.7500  4 Ni 2.73, 4 Au 2.73
Os 0.7500 0.7500 0.2500  4 Ni 2.73, 4 Au 2.73
Au 0.0000 0.0000 0.5000  4 Au 2.73, 4 Os 2.73
Au 0.0000 0.5000 0.0000  4 Au 2.73, 4 Os 2.73
Au 0.2500 0.2500 0.7500  4 Ni 2.73, 4 Au 2.73
Au 0.2500 0.7500 0.2500  4 Ni 2.73, 4 Au 2.73
Au 0.5000 0.0000 0.0000  4 Au 2.73, 4 Os 2.73
Au 0.5000 0.5000 0.5000  4 Au 2.73, 4 Os 2.73
Au 0.7500 0.2500 0.2500  4 Ni 2.73, 4 Au 2.73
Au 0.7500 0.7500 0.7500  4 Ni 2.73, 4 Au 2.73

Calculated values
volume	15.65	A^3/atom
E_tot	-83.83	eV per cell
magnetization	2.29	μB/f.u.

(7)
Compound: NiOsAu2
Source: Alexandria via LeMat-Bulk
Functional: PBE-GGA
Structure: optimized geometry

a = 2.7917 Å, b = 2.7917 Å, c = 27.5391 Å
α = 90.00°, β = 90.00°, γ = 120.00°
With the nearest neighbours (Å) after each atom.
Positions (direct):
Ni 0.0000 0.0000 0.0000  3 Os 2.51, 3 Au 2.73, 6 Ni 2.79
Ni 0.3333 0.6667 0.6667  3 Os 2.51, 3 Au 2.73, 6 Ni 2.79
Ni 0.6667 0.3333 0.3333  3 Os 2.51, 3 Au 2.73, 6 Ni 2.79
Os 0.0000 0.0000 0.7365  3 Ni 2.51, 6 Os 2.79
Os 0.3333 0.6667 0.4031  3 Ni 2.51, 6 Os 2.79
Os 0.6667 0.3333 0.0698  3 Ni 2.51, 6 Os 2.79
Au 0.0000 0.0000 0.2532  3 Ni 2.73, 6 Au 2.79
Au 0.0000 0.0000 0.4917  9 Au 2.79-3.07, 3 Os 2.92
Au 0.3333 0.6667 0.1584  9 Au 2.79-3.07, 3 Os 2.92
Au 0.3333 0.6667 0.9199  3 Ni 2.73, 6 Au 2.79
Au 0.6667 0.3333 0.5865  3 Ni 2.73, 6 Au 2.79
Au 0.6667 0.3333 0.8250  9 Au 2.79-3.07, 3 Os 2.92

Calculated values
volume	15.49	A^3/atom
E_tot	-67.44	eV per cell
magnetization	0.04	μB/f.u.

(8)
Compound: NiOsAu2
Source: Alexandria via LeMat-Bulk
Functional: PBE-GGA
Structure: optimized geometry

a = 2.7745 Å, b = 2.7745 Å, c = 7.9828 Å
α = 90.00°, β = 90.00°, γ = 90.00°
With the nearest neighbours (Å) after each atom.
Positions (direct):
Ni 0.0000 0.0000 0.0000  4 Os 2.52, 4 Au 2.76, 4 Ni 2.77
Os 0.5000 0.5000 0.1979  4 Ni 2.52, 4 Os 2.77
Au 0.0000 0.0000 0.4665  8 Au 2.77-3.03, 4 Os 2.91
Au 0.5000 0.5000 0.7566  4 Ni 2.76, 8 Au 2.77-3.03

Calculated values
volume	15.36	A^3/atom
E_tot	-22.47	eV per cell
magnetization	0.00	μB/f.u.

(9)
Compound: NiOsAu2
Source: Alexandria via LeMat-Bulk
Functional: PBE-GGA
Structure: optimized geometry

a = 4.0133 Å, b = 4.0133 Å, c = 7.6514 Å
α = 90.00°, β = 90.00°, γ = 90.00°
With the nearest neighbours (Å) after each atom.
Positions (direct):
Ni 0.0000 0.0000 0.0000  8 Au 2.77, 4 Os 2.84
Ni 0.5000 0.5000 0.5000  8 Au 2.77, 4 Os 2.84
Os 0.0000 0.0000 0.5000  8 Au 2.77, 4 Ni 2.84
Os 0.5000 0.5000 0.0000  8 Au 2.77, 4 Ni 2.84
Au 0.0000 0.5000 0.2500  4 Os 2.77, 4 Ni 2.77, 4 Au 2.84
Au 0.0000 0.5000 0.7500  4 Ni 2.77, 4 Os 2.77, 4 Au 2.84
Au 0.5000 0.0000 0.2500  4 Os 2.77, 4 Ni 2.77, 4 Au 2.84
Au 0.5000 0.0000 0.7500  4 Ni 2.77, 4 Os 2.77, 4 Au 2.84

Calculated values
volume	15.40	A^3/atom
E_tot	-42.36	eV per cell
magnetization	1.31	μB/f.u.

(10)
Compound: NiOs2Au
Source: Alexandria via LeMat-Bulk
Functional: PBE-GGA
Structure: optimized geometry

a = 2.7256 Å, b = 2.7256 Å, c = 27.0218 Å
α = 90.00°, β = 90.00°, γ = 120.00°
With the nearest neighbours (Å) after each atom.
Positions (direct):
Ni 0.0000 0.0000 0.0000  6 Os 2.58, 6 Ni 2.73
Ni 0.3333 0.6667 0.6667  6 Os 2.58, 6 Ni 2.73
Ni 0.6667 0.3333 0.3333  6 Os 2.58, 6 Ni 2.73
Os 0.0000 0.0000 0.2579  3 Ni 2.58, 6 Os 2.73
Os 0.0000 0.0000 0.7421  3 Ni 2.58, 6 Os 2.73
Os 0.3333 0.6667 0.4088  3 Ni 2.58, 6 Os 2.73
Os 0.3333 0.6667 0.9246  3 Ni 2.58, 6 Os 2.73
Os 0.6667 0.3333 0.0754  3 Ni 2.58, 6 Os 2.73
Os 0.6667 0.3333 0.5912  3 Ni 2.58, 6 Os 2.73
Au 0.0000 0.0000 0.5000  6 Au 2.73, 6 Os 2.92
Au 0.3333 0.6667 0.1667  6 Au 2.73, 6 Os 2.92
Au 0.6667 0.3333 0.8333  6 Au 2.73, 6 Os 2.92

Calculated values
volume	14.49	A^3/atom
E_tot	-89.62	eV per cell
magnetization	0.15	μB/f.u.

(11)
Compound: NiOsAu2
Source: Alexandria via LeMat-Bulk
Functional: PBE-GGA
Structure: optimized geometry

a = 9.2837 Å, b = 2.7313 Å, c = 4.9285 Å
α = 90.00°, β = 99.42°, γ = 90.00°
With the nearest neighbours (Å) after each atom.
Positions (direct):
Ni 0.0000 0.0000 0.0000  2 Ni 2.73, 6 Au 2.79-2.80, 4 Os 2.82
Ni 0.5000 0.5000 0.0000  2 Ni 2.73, 6 Au 2.79-2.80, 4 Os 2.82
Os 0.0000 0.5000 0.5000  2 Os 2.73, 6 Au 2.80-2.81, 4 Ni 2.82
Os 0.5000 0.0000 0.5000  2 Os 2.73, 6 Au 2.80-2.81, 4 Ni 2.82
Au 0.2494 0.5000 0.2470  6 Au 2.73-2.84, 3 Ni 2.79-2.80, 3 Os 2.80-2.81
Au 0.2506 0.0000 0.7530  6 Au 2.73-2.84, 3 Ni 2.79-2.80, 3 Os 2.80-2.81
Au 0.7494 0.0000 0.2470  6 Au 2.73-2.84, 3 Ni 2.79-2.80, 3 Os 2.80-2.81
Au 0.7506 0.5000 0.7530  6 Au 2.73-2.84, 3 Ni 2.79-2.80, 3 Os 2.80-2.81

Calculated values
volume	15.41	A^3/atom
E_tot	-43.07	eV per cell
magnetization	0.72	μB/f.u.

(12)
Compound: NiOsAu2
Source: Alexandria via LeMat-Bulk
Functional: PBE-GGA
Structure: optimized geometry

a = 2.7971 Å, b = 4.7274 Å, c = 9.5457 Å
α = 90.00°, β = 90.00°, γ = 90.00°
With the nearest neighbours (Å) after each atom.
Positions (direct):
Ni 0.0000 0.0000 0.0000  2 Os 2.46, 2 Au 2.69, 4 Ni 2.75
Ni 0.5000 0.5000 0.0000  2 Os 2.46, 2 Au 2.69, 4 Ni 2.75
Os 0.0000 0.5000 0.7884  2 Ni 2.46, 4 Os 2.75
Os 0.5000 0.0000 0.7884  2 Ni 2.46, 4 Os 2.75
Au 0.0000 0.0000 0.5203  8 Au 2.75-3.02, 2 Os 2.92
Au 0.0000 0.5000 0.2402  2 Ni 2.69, 6 Au 2.75-2.80
Au 0.5000 0.0000 0.2402  2 Ni 2.69, 6 Au 2.75-2.80
Au 0.5000 0.5000 0.5203  8 Au 2.75-3.02, 2 Os 2.92

Calculated values
volume	15.78	A^3/atom
E_tot	-44.07	eV per cell
magnetization	0.07	μB/f.u.

Which value of volume does entry 8 give?
15.36 A^3/atom

Number 6 is which compound?
NiOsAu2

Look up the volume of the sixth one.
15.65 A^3/atom